{"formula": "CsCd4Au4", "functional": "GGA-PBE", "state": "optimized geometry", "cell": [[4.861, 0.000, 0.000], [0.000, 10.072, 0.000], [0.000, 0.000, 10.072]], "species": ["Cd", "Cs", "Cd", "Cd", "Cd", "Cd", "Au", "Au", "Cd", "Cd", "Au", "Cd", "Au", "Au", "Au", "Au", "Cs", "Au"], "frac_coords": [[0.500, 0.379, 0.914], [0.000, 0.000, 0.000], [0.500, 0.621, 0.086], [0.000, 0.879, 0.414], [0.500, 0.086, 0.379], [0.500, 0.914, 0.621], [0.500, 0.294, 0.188], [0.500, 0.812, 0.294], [0.000, 0.121, 0.586], [0.000, 0.586, 0.879], [0.500, 0.188, 0.706], [0.000, 0.414, 0.121], [0.000, 0.794, 0.688], [0.000, 0.312, 0.794], [0.500, 0.706, 0.812], [0.000, 0.688, 0.206], [0.500, 0.500, 0.500], [0.000, 0.206, 0.312]], "crystal_system": "tetragonal", "total_magnetization_mub_per_cell": 0.0, "delta_e_f_ev_per_atom": -0.21, "polymorph_energy_kj_per_mol_atoms": 0.5}